Density functional theory data (PBE with a Hubbard U) for crystalline GeMoO3 at its relaxed geometry.

Its total magnetic moment is 0.40 μB per atom. For the uncorrected energy, the calculation gives -31.678 eV for the cell shown.

The structure belongs to space group Pm-3m (No. 221); the cell edges are 3.992, 3.992 and 3.992 Å and the angles 90.00°, 90.00° and 90.00°. Symmetry generates all atoms from Ge at (0.000, 0.000, 0.000), Mo at (0.500, 0.500, 0.500) and O at (0.000, 0.500, 0.500).